[1]
# MgBIrPd2 PBE optimized geometry
data_MgBIrPd2
_chemical_formula_sum 'Mg1 B1 Ir1 Pd2'
_symmetry_space_group_name_H-M 'P 1'
_symmetry_Int_Tables_number 1
_cell_length_a 4.1965
_cell_length_b 4.1965
_cell_length_c 4.1028
_cell_angle_alpha 90.00
_cell_angle_beta 90.00
_cell_angle_gamma 90.00
loop_
_symmetry_equiv_pos_as_xyz
'x,y,z'
loop_
_atom_site_label
_atom_site_type_symbol
_atom_site_fract_x
_atom_site_fract_y
_atom_site_fract_z
Mg1 Mg 0.5000 0.5000 0.5000
Ir1 Ir 0.0000 0.0000 0.5000
B1 B 0.0000 0.0000 0.0000
Pd1 Pd 0.0000 0.5000 0.0000
Pd2 Pd 0.5000 0.0000 0.0000
# **Raw total energy**: -29.6 eV/cell
# **DFT formation energy**: -0.43 eV/atom
# **Spin magnetization**: 0.000 Bohr magnetons per cell

[2]
# MgBIr2Pd PBE optimized geometry
data_MgBIr2Pd
_chemical_formula_sum 'Mg1 B1 Ir2 Pd1'
_symmetry_space_group_name_H-M 'P 1'
_symmetry_Int_Tables_number 1
_cell_length_a 4.1284
_cell_length_b 4.1284
_cell_length_c 4.1894
_cell_angle_alpha 90.00
_cell_angle_beta 90.00
_cell_angle_gamma 90.00
loop_
_symmetry_equiv_pos_as_xyz
'x,y,z'
loop_
_atom_site_label
_atom_site_type_symbol
_atom_site_fract_x
_atom_site_fract_y
_atom_site_fract_z
Mg1 Mg 0.5000 0.5000 0.5000
Ir1 Ir 0.0000 0.5000 0.0000
Ir2 Ir 0.5000 0.0000 0.0000
B1 B 0.0000 0.0000 0.0000
Pd1 Pd 0.0000 0.0000 0.5000
# **Raw total energy**: -32.7 eV/cell
# **DFT formation energy**: -0.30 eV/atom
# **Spin magnetization**: 0.000 Bohr magnetons per cell

[3]
# PmMg2BIr2 PBE optimized geometry
data_PmMg2BIr2
_chemical_formula_sum 'Pm1 Mg2 B1 Ir2'
_symmetry_space_group_name_H-M 'P 1'
_symmetry_Int_Tables_number 1
_cell_length_a 4.1444
_cell_length_b 4.1444
_cell_length_c 7.7088
_cell_angle_alpha 105.59
_cell_angle_beta 105.59
_cell_angle_gamma 90.00
loop_
_symmetry_equiv_pos_as_xyz
'x,y,z'
loop_
_atom_site_label
_atom_site_type_symbol
_atom_site_fract_x
_atom_site_fract_y
_atom_site_fract_z
Pm1 Pm 0.5000 0.5000 0.0000
Mg1 Mg 0.2500 0.7500 0.5000
Mg2 Mg 0.7500 0.2500 0.5000
B1 B 0.0000 0.0000 0.0000
Ir1 Ir 0.8677 0.8677 0.7353
Ir2 Ir 0.1323 0.1323 0.2647
# **Raw total energy**: -33.3 eV/cell
# **DFT formation energy**: -0.16 eV/atom
# **Spin magnetization**: 0.000 Bohr magnetons per cell

[4]
# Pu2MgB2Ir5 PBE optimized geometry
data_Pu2MgB2Ir5
_chemical_formula_sum 'Pu4 Mg2 B4 Ir10'
_symmetry_space_group_name_H-M 'P 1'
_symmetry_Int_Tables_number 1
_cell_length_a 3.1270
_cell_length_b 9.8539
_cell_length_c 9.8539
_cell_angle_alpha 90.00
_cell_angle_beta 90.00
_cell_angle_gamma 90.00
loop_
_symmetry_equiv_pos_as_xyz
'x,y,z'
loop_
_atom_site_label
_atom_site_type_symbol
_atom_site_fract_x
_atom_site_fract_y
_atom_site_fract_z
Pu1 Pu 0.0000 0.6795 0.1795
Pu2 Pu 0.0000 0.3205 0.8205
Pu3 Pu 0.0000 0.1795 0.3205
Pu4 Pu 0.0000 0.8205 0.6795
Mg1 Mg 0.0000 0.0000 0.0000
Mg2 Mg 0.0000 0.5000 0.5000
B1 B 0.0000 0.1207 0.6207
B2 B 0.0000 0.8793 0.3793
B3 B 0.0000 0.6207 0.8793
B4 B 0.0000 0.3793 0.1207
Ir1 Ir 0.5000 0.2267 0.0676
Ir2 Ir 0.5000 0.7733 0.9324
Ir3 Ir 0.5000 0.0676 0.7733
Ir4 Ir 0.5000 0.7267 0.4324
Ir5 Ir 0.5000 0.9324 0.2267
Ir6 Ir 0.5000 0.2733 0.5676
Ir7 Ir 0.5000 0.5676 0.7267
Ir8 Ir 0.5000 0.4324 0.2733
Ir9 Ir 0.5000 0.5000 0.0000
Ir10 Ir 0.5000 0.0000 0.5000
# **Raw total energy**: -184.9 eV/cell
# **DFT formation energy**: -0.45 eV/atom
# **Spin magnetization**: 18.454 Bohr magnetons per cell

[5]
# Mg2B2IrRh5 PBE optimized geometry
data_Mg2B2IrRh5
_chemical_formula_sum 'Mg4 B4 Ir2 Rh10'
_symmetry_space_group_name_H-M 'P 1'
_symmetry_Int_Tables_number 1
_cell_length_a 2.8600
_cell_length_b 9.6858
_cell_length_c 9.6858
_cell_angle_alpha 90.00
_cell_angle_beta 90.00
_cell_angle_gamma 90.00
loop_
_symmetry_equiv_pos_as_xyz
'x,y,z'
loop_
_atom_site_label
_atom_site_type_symbol
_atom_site_fract_x
_atom_site_fract_y
_atom_site_fract_z
Mg1 Mg 0.0000 0.6779 0.1779
Mg2 Mg 0.0000 0.3221 0.8221
Mg3 Mg 0.0000 0.1779 0.3221
Mg4 Mg 0.0000 0.8221 0.6779
B1 B 0.0000 0.1222 0.6222
B2 B 0.0000 0.8778 0.3778
B3 B 0.0000 0.6222 0.8778
B4 B 0.0000 0.3778 0.1222
Ir1 Ir 0.0000 0.0000 0.0000
Ir2 Ir 0.0000 0.5000 0.5000
Rh1 Rh 0.5000 0.2231 0.0710
Rh2 Rh 0.5000 0.7769 0.9290
Rh3 Rh 0.5000 0.0710 0.7769
Rh4 Rh 0.5000 0.7231 0.4290
Rh5 Rh 0.5000 0.9290 0.2231
Rh6 Rh 0.5000 0.2769 0.5710
Rh7 Rh 0.5000 0.5710 0.7231
Rh8 Rh 0.5000 0.4290 0.2769
Rh9 Rh 0.5000 0.5000 0.0000
Rh10 Rh 0.5000 0.0000 0.5000
# **Raw total energy**: -132.5 eV/cell
# **DFT formation energy**: -0.41 eV/atom
# **Spin magnetization**: 0.286 Bohr magnetons per cell

[6]
# MgBIrRh PBE optimized geometry
data_MgBIrRh
_chemical_formula_sum 'Mg1 B1 Ir1 Rh1'
_symmetry_space_group_name_H-M 'P 1'
_symmetry_Int_Tables_number 1
_cell_length_a 2.8759
_cell_length_b 2.8664
_cell_length_c 6.4944
_cell_angle_alpha 102.75
_cell_angle_beta 90.00
_cell_angle_gamma 90.00
loop_
_symmetry_equiv_pos_as_xyz
'x,y,z'
loop_
_atom_site_label
_atom_site_type_symbol
_atom_site_fract_x
_atom_site_fract_y
_atom_site_fract_z
Mg1 Mg 0.5000 0.4955 0.9911
B1 B 0.5000 0.7236 0.4473
Ir1 Ir 0.0000 0.1522 0.3043
Rh1 Rh 0.0000 0.8490 0.6981
# **Raw total energy**: -26.0 eV/cell
# **DFT formation energy**: -0.37 eV/atom
# **Spin magnetization**: 0.000 Bohr magnetons per cell

[7]
# MgBIrRh2 PBE optimized geometry
data_MgBIrRh2
_chemical_formula_sum 'Mg1 B1 Ir1 Rh2'
_symmetry_space_group_name_H-M 'P 1'
_symmetry_Int_Tables_number 1
_cell_length_a 4.1119
_cell_length_b 4.1119
_cell_length_c 4.1134
_cell_angle_alpha 90.00
_cell_angle_beta 90.00
_cell_angle_gamma 90.00
loop_
_symmetry_equiv_pos_as_xyz
'x,y,z'
loop_
_atom_site_label
_atom_site_type_symbol
_atom_site_fract_x
_atom_site_fract_y
_atom_site_fract_z
Mg1 Mg 0.5000 0.5000 0.5000
Ir1 Ir 0.0000 0.0000 0.5000
Rh1 Rh 0.0000 0.5000 0.0000
Rh2 Rh 0.5000 0.0000 0.0000
B1 B 0.0000 0.0000 0.0000
# **Raw total energy**: -33.7 eV/cell
# **DFT formation energy**: -0.37 eV/atom
# **Spin magnetization**: 0.000 Bohr magnetons per cell

[8]
# MgBIr2Rh PBE optimized geometry
data_MgBIr2Rh
_chemical_formula_sum 'Mg1 B1 Ir2 Rh1'
_symmetry_space_group_name_H-M 'P 1'
_symmetry_Int_Tables_number 1
_cell_length_a 4.1174
_cell_length_b 4.1174
_cell_length_c 4.1180
_cell_angle_alpha 90.00
_cell_angle_beta 90.00
_cell_angle_gamma 90.00
loop_
_symmetry_equiv_pos_as_xyz
'x,y,z'
loop_
_atom_site_label
_atom_site_type_symbol
_atom_site_fract_x
_atom_site_fract_y
_atom_site_fract_z
Mg1 Mg 0.5000 0.5000 0.5000
Ir1 Ir 0.0000 0.5000 0.0000
Ir2 Ir 0.5000 0.0000 0.0000
Rh1 Rh 0.0000 0.0000 0.5000
B1 B 0.0000 0.0000 0.0000
# **Raw total energy**: -35.0 eV/cell
# **DFT formation energy**: -0.32 eV/atom
# **Spin magnetization**: 0.000 Bohr magnetons per cell